# ErBi3S6, optimized geometry, DFT PBE
data_ErBi3S6
_chemical_formula_sum 'Er2 Bi6 S12'
_cell_length_a 11.6038
_cell_length_b 3.9660
_cell_length_c 11.6178
_cell_angle_alpha 90.00
_cell_angle_beta 105.58
_cell_angle_gamma 90.00
_symmetry_space_group_name_H-M 'P 1 21/m 1'
_symmetry_Int_Tables_number 11
loop_
_symmetry_equiv_pos_as_xyz
'x,y,z'
'-x,-y,-z'
'-x,y+1/2,-z'
'x,-y+1/2,z'
loop_
_atom_site_label
_atom_site_fract_x
_atom_site_fract_y
_atom_site_fract_z
Er1 0.1842 0.2500 0.0367
Bi1 0.0165 0.7500 0.3003
Bi2 0.3342 0.2500 0.4246
Bi3 0.4091 0.7500 0.8472
S1 0.0394 0.7500 0.9004
S2 0.1150 0.2500 0.4617
S3 0.2141 0.7500 0.2254
S4 0.2504 0.2500 0.8132
S5 0.3807 0.7500 0.0665
S6 0.4060 0.7500 0.5838
# Spin magnetization (μB/atom): 0.0000
# Formation energy (no corrections) (eV per atom): -0.76
# Crystal system: monoclinic


# Er3Bi2S8, optimized geometry, DFT PBE
data_Er3Bi2S8
_chemical_formula_sum 'Er6 Bi4 S16'
_cell_length_a 13.7742
_cell_length_b 7.9048
_cell_length_c 6.7657
_cell_angle_alpha 90.00
_cell_angle_beta 109.12
_cell_angle_gamma 90.00
_symmetry_space_group_name_H-M 'C 1 2/m 1'
_symmetry_Int_Tables_number 12
loop_
_symmetry_equiv_pos_as_xyz
'x,y,z'
'-x,-y,-z'
'-x,y,-z'
'x,-y,z'
'x+1/2,y+1/2,z'
'-x+1/2,-y+1/2,-z'
'-x+1/2,y+1/2,-z'
'x+1/2,-y+1/2,z'
loop_
_atom_site_label
_atom_site_fract_x
_atom_site_fract_y
_atom_site_fract_z
Er1 0.0000 0.0000 0.0000
Er2 0.0000 0.2571 0.5000
Bi1 0.2310 0.5000 0.1589
S1 0.1119 0.0000 0.4149
S2 0.1188 0.5000 0.4251
S3 0.1196 0.2361 0.9059
# Spin magnetization (μB/atom): 0.0000
# Formation energy (no corrections) (eV per atom): -1.20
# Crystal system: monoclinic


# ErBiS3, optimized geometry, DFT PBE
data_ErBiS3
_chemical_formula_sum 'Er2 Bi2 S6'
_cell_length_a 7.9565
_cell_length_b 3.9624
_cell_length_c 8.0724
_cell_angle_alpha 90.00
_cell_angle_beta 94.84
_cell_angle_gamma 90.00
_symmetry_space_group_name_H-M 'P 1 21/m 1'
_symmetry_Int_Tables_number 11
loop_
_symmetry_equiv_pos_as_xyz
'x,y,z'
'-x,-y,-z'
'-x,y+1/2,-z'
'x,-y+1/2,z'
loop_
_atom_site_label
_atom_site_fract_x
_atom_site_fract_y
_atom_site_fract_z
Er1 0.1625 0.2500 0.1380
Bi1 0.2863 0.2500 0.5825
S1 0.1148 0.7500 0.3711
S2 0.1766 0.7500 0.9162
S3 0.4743 0.2500 0.3169
# Spin magnetization (μB/atom): 0.0000
# Energy relative to the lowest polymorph listed for this composition (meV/atom): 28.6
# Formation energy (no corrections) (eV per atom): -1.16
# Crystal system: monoclinic


# Er4Bi2S9, optimized geometry, DFT PBE
data_Er4Bi2S9
_chemical_formula_sum 'Er8 Bi4 S18'
_cell_length_a 6.9404
_cell_length_b 6.9404
_cell_length_c 18.5425
_cell_angle_alpha 90.00
_cell_angle_beta 90.00
_cell_angle_gamma 120.00
_symmetry_space_group_name_H-M 'P -3 c 1'
_symmetry_Int_Tables_number 165
_symmetry_space_group_name_Hall '-P 3 2"c'
loop_
_atom_site_label
_atom_site_fract_x
_atom_site_fract_y
_atom_site_fract_z
Er1 0.3333 0.6667 0.1831
Er2 0.3333 0.6667 0.4841
Bi1 0.0000 0.0000 0.1483
S1 0.0000 0.3104 0.2500
S2 0.0294 0.3789 0.5837
# Spin magnetization (μB/atom): 0.0000
# Formation energy (no corrections) (eV per atom): -1.48
# Crystal system: trigonal


# Er3BiS2, optimized geometry, DFT PBE
data_Er3BiS2
_chemical_formula_sum 'Er12 Bi4 S8'
_cell_length_a 7.1395
_cell_length_b 10.9853
_cell_length_c 8.2380
_cell_angle_alpha 90.00
_cell_angle_beta 90.00
_cell_angle_gamma 90.00
_symmetry_space_group_name_H-M 'I m m a'
_symmetry_Int_Tables_number 74
_symmetry_space_group_name_Hall '-I 2b 2'
loop_
_atom_site_label
_atom_site_fract_x
_atom_site_fract_y
_atom_site_fract_z
Er1 0.2299 0.0000 0.0000
Er2 0.2500 0.2500 0.2500
Bi1 0.0000 0.2500 0.9019
S1 0.0000 0.0634 0.2878
# Spin magnetization (μB/atom): 0.0000
# Formation energy (no corrections) (eV per atom): -1.21
# Crystal system: orthorhombic


# ErBiS, optimized geometry, DFT PBE
data_ErBiS
_chemical_formula_sum 'Er4 Bi4 S4'
_cell_length_a 6.9359
_cell_length_b 4.0043
_cell_length_c 13.7778
_cell_angle_alpha 90.00
_cell_angle_beta 100.34
_cell_angle_gamma 90.00
_symmetry_space_group_name_H-M 'C 1 2/m 1'
_symmetry_Int_Tables_number 12
loop_
_symmetry_equiv_pos_as_xyz
'x,y,z'
'-x,-y,-z'
'-x,y,-z'
'x,-y,z'
'x+1/2,y+1/2,z'
'-x+1/2,-y+1/2,-z'
'-x+1/2,y+1/2,-z'
'x+1/2,-y+1/2,z'
loop_
_atom_site_label
_atom_site_fract_x
_atom_site_fract_y
_atom_site_fract_z
Er1 0.0963 0.0000 0.2710
Bi1 0.1362 0.5000 0.9141
S1 0.2062 0.0000 0.6425
# Spin magnetization (μB/atom): 0.0000
# Energy relative to the lowest polymorph listed for this composition (meV/atom): 55.2
# Formation energy (no corrections) (eV per atom): -1.05
# Crystal system: monoclinic